! NaSi5Ni3 | the Open Quantum Materials Database | PBE | optimized geometry; values from VASP
&SYSTEM
  ibrav = 0, nat = 9, ntyp = 3
/
ATOMIC_SPECIES
Na 22.99 Na.upf
Si 28.09 Si.upf
Ni 58.69 Ni.upf
CELL_PARAMETERS angstrom
4.8753 0.0000 0.0000
-2.4376 4.2221 0.0000
0.0000 0.0000 6.2343
ATOMIC_POSITIONS crystal
Na 0.0000 0.0000 0.0000
Si 0.0000 0.0000 0.5000
Si 0.3333 0.6667 0.1947
Si 0.3333 0.6667 0.8053
Si 0.6667 0.3333 0.1947
Si 0.6667 0.3333 0.8053
Ni 0.0000 0.5000 0.5000
Ni 0.5000 0.0000 0.5000
Ni 0.5000 0.5000 0.5000
! **Uncorrected energy**: -5.110 eV per atom
! **SG**: P6/mmm

***

! TlTcTe3Au | the Open Quantum Materials Database | PBE | optimized geometry; values from VASP
&SYSTEM
  ibrav = 0, nat = 12, ntyp = 4
/
ATOMIC_SPECIES
Tl 204.38 Tl.upf
Tc 98.00 Tc.upf
Te 127.60 Te.upf
Au 196.97 Au.upf
CELL_PARAMETERS angstrom
8.4258 0.0000 0.0000
0.0000 3.9256 0.0000
-4.1666 0.0000 9.4094
ATOMIC_POSITIONS crystal
Tl 0.0383 0.2500 0.2832
Tl 0.9617 0.7500 0.7168
Tc 0.4628 0.2500 0.1764
Tc 0.5372 0.7500 0.8236
Te 0.2161 0.7500 0.1037
Te 0.2655 0.7500 0.5705
Te 0.3495 0.2500 0.8815
Te 0.6505 0.7500 0.1185
Te 0.7345 0.2500 0.4295
Te 0.7839 0.2500 0.8963
Au 0.4380 0.7500 0.3873
Au 0.5620 0.2500 0.6127
! **Uncorrected energy**: -4.290 eV per atom
! **SG**: P2_1/m

***

! MgGaPd2 | the Open Quantum Materials Database | PBE | optimized geometry; values from VASP
&SYSTEM
  ibrav = 0, nat = 8, ntyp = 3
/
ATOMIC_SPECIES
Mg 24.30 Mg.upf
Ga 69.72 Ga.upf
Pd 106.42 Pd.upf
CELL_PARAMETERS angstrom
4.5035 0.0000 0.0000
-2.2517 3.9001 0.0000
0.0000 0.0000 7.7352
ATOMIC_POSITIONS crystal
Mg 0.0000 0.0000 0.0000
Mg 0.0000 0.0000 0.5000
Ga 0.3333 0.6667 0.2500
Ga 0.6667 0.3333 0.7500
Pd 0.3333 0.6667 0.5789
Pd 0.3333 0.6667 0.9211
Pd 0.6667 0.3333 0.0789
Pd 0.6667 0.3333 0.4211
! **Uncorrected energy**: -4.286 eV per atom
! **SG**: P6_3/mmc

***

! DyY2Tc | the Open Quantum Materials Database | PBE | optimized geometry; values from VASP
&SYSTEM
  ibrav = 0, nat = 16, ntyp = 3
/
ATOMIC_SPECIES
Dy 162.50 Dy.upf
Y 88.91 Y.upf
Tc 98.00 Tc.upf
CELL_PARAMETERS angstrom
7.4142 0.0000 0.0000
0.0000 9.2068 0.0000
0.0000 0.0000 6.2880
ATOMIC_POSITIONS crystal
Dy 0.0441 0.2500 0.1305
Dy 0.4559 0.7500 0.6305
Dy 0.5441 0.2500 0.3695
Dy 0.9559 0.7500 0.8695
Y 0.1767 0.0640 0.6606
Y 0.1767 0.4360 0.6606
Y 0.3233 0.5640 0.1606
Y 0.3233 0.9360 0.1606
Y 0.6767 0.0640 0.8394
Y 0.6767 0.4360 0.8394
Y 0.8233 0.5640 0.3394
Y 0.8233 0.9360 0.3394
Tc 0.1151 0.7500 0.4652
Tc 0.3849 0.2500 0.9652
Tc 0.6151 0.7500 0.0348
Tc 0.8849 0.2500 0.5348
! **Uncorrected energy**: -7.065 eV per atom
! **Formation energy**: -0.092 eV per atom
! **SG**: Pnma

***

! Gd2ErNiSn3Pd2 | the Open Quantum Materials Database | PBE | optimized geometry; values from VASP
&SYSTEM
  ibrav = 0, nat = 9, ntyp = 5
/
ATOMIC_SPECIES
Gd 157.25 Gd.upf
Er 167.26 Er.upf
Ni 58.69 Ni.upf
Sn 118.71 Sn.upf
Pd 106.42 Pd.upf
CELL_PARAMETERS angstrom
3.9065 0.0000 0.0000
0.0000 6.5226 3.7773
0.0000 -6.5226 3.7773
ATOMIC_POSITIONS crystal
Gd 0.0000 0.2014 0.7986
Gd 0.0000 0.7986 0.2014
Er 0.0000 0.3980 0.3980
Ni 0.0000 0.7973 0.7973
Sn 0.5000 0.0484 0.0484
Sn 0.5000 0.5488 0.7974
Sn 0.5000 0.7974 0.5488
Pd 0.5000 0.1355 0.4642
Pd 0.5000 0.4642 0.1355
! **Uncorrected energy**: -5.515 eV per atom
! **SG**: Amm2

***

! TaNb2Pt3 | the Open Quantum Materials Database | PBE | optimized geometry; values from VASP
&SYSTEM
  ibrav = 0, nat = 12, ntyp = 3
/
ATOMIC_SPECIES
Ta 180.95 Ta.upf
Nb 92.91 Nb.upf
Pt 195.08 Pt.upf
CELL_PARAMETERS angstrom
13.9638 0.0000 0.0000
0.0000 2.8158 0.0000
0.0000 0.0000 5.0005
ATOMIC_POSITIONS crystal
Ta 0.2500 0.0000 0.0022
Ta 0.7500 0.0000 0.9978
Nb 0.0814 0.0000 0.3436
Nb 0.4186 0.0000 0.3436
Nb 0.5814 0.0000 0.6564
Nb 0.9186 0.0000 0.6564
Pt 0.0849 0.5000 0.8438
Pt 0.2500 0.5000 0.4991
Pt 0.4151 0.5000 0.8438
Pt 0.5849 0.5000 0.1562
Pt 0.7500 0.5000 0.5009
Pt 0.9151 0.5000 0.1562
! **Uncorrected energy**: -9.020 eV per atom
! **Formation energy**: -0.652 eV per atom
! **SG**: Pmma

***

! Tb2HoIn3Co2Cu | the Open Quantum Materials Database | PBE | optimized geometry; values from VASP
&SYSTEM
  ibrav = 0, nat = 9, ntyp = 5
/
ATOMIC_SPECIES
Tb 158.93 Tb.upf
Ho 164.93 Ho.upf
In 114.82 In.upf
Co 58.93 Co.upf
Cu 63.55 Cu.upf
CELL_PARAMETERS angstrom
3.8814 0.0000 0.0000
0.0000 6.3958 3.6931
0.0000 -6.3958 3.6931
ATOMIC_POSITIONS crystal
Tb 0.0000 0.2067 0.7933
Tb 0.0000 0.7933 0.2067
Ho 0.0000 0.3803 0.3803
In 0.5000 0.0521 0.0521
In 0.5000 0.5352 0.7924
In 0.5000 0.7924 0.5352
Co 0.5000 0.1272 0.4596
Co 0.5000 0.4596 0.1272
Cu 0.0000 0.7927 0.7927
! **Uncorrected energy**: -4.777 eV per atom
! **SG**: Amm2

***

! Sm2Nb2O5 | the Open Quantum Materials Database | PBE | optimized geometry; values from VASP
&SYSTEM
  ibrav = 0, nat = 9, ntyp = 3
/
ATOMIC_SPECIES
Sm 150.36 Sm.upf
Nb 92.91 Nb.upf
O 16.00 O.upf
CELL_PARAMETERS angstrom
3.5334 0.0000 0.0000
0.0000 3.5334 0.0000
0.0000 0.0000 10.0975
ATOMIC_POSITIONS crystal
Sm 0.0000 0.0000 0.2364
Sm 0.0000 0.0000 0.7636
Nb 0.5000 0.5000 0.0000
Nb 0.5000 0.5000 0.5000
O 0.0000 0.0000 0.0000
O 0.0000 0.5000 0.3805
O 0.0000 0.5000 0.6195
O 0.5000 0.0000 0.3805
O 0.5000 0.0000 0.6195
! **Uncorrected energy**: -8.140 eV per atom
! **SG**: P4/mmm

***

Look up the uncorrected energy of the eighth one. -8.140 eV per atom

***

Among the records above, which one has the highest uncorrected energy? MgGaPd2

***

Among the records above, which one has the highest uncorrected energy? MgGaPd2